Entry 1:
{
  "formula": "Cs2HNF6",
  "functional": "PBE",
  "state": "optimized geometry",
  "cell": [[4.1610, -4.9074, 0.0000], [4.1610, 4.9074, 0.0000], [-3.9794, 0.0000, 4.5321]],
  "species": ["Cs", "Cs", "H", "N", "F", "F", "F", "F", "F", "F"],
  "frac_coords": [[0.2301, 0.7699, 0.0000], [0.7699, 0.2301, 0.0000], [0.8912, 0.8912, 0.3988], [0.5022, 0.5022, 0.5057], [0.3313, 0.7117, 0.5225], [0.3471, 0.3471, 0.5332], [0.3743, 0.3743, 0.1977], [0.7117, 0.3313, 0.5225], [0.8188, 0.8188, 0.1595], [0.9599, 0.9599, 0.6415]],
  "m_tot_mub_per_cell": 0.2,
  "final_energy_ev_per_cell": -40.31
}

***

Entry 2:
{
  "formula": "CsH6N2F",
  "functional": "PBE",
  "state": "optimized geometry",
  "cell": [[5.1373, -5.1054, 0.0000], [5.1373, 5.1054, 0.0000], [-3.1991, 0.0000, 5.0650]],
  "species": ["Cs", "Cs", "H", "H", "H", "H", "H", "H", "H", "H", "H", "H", "H", "H", "N", "N", "N", "N", "F", "F"],
  "frac_coords": [[0.1512, 0.8488, 0.7500], [0.8488, 0.1512, 0.2500], [0.0872, 0.3394, 0.8657], [0.1931, 0.5782, 0.0435], [0.3338, 0.4029, 0.9825], [0.3394, 0.0872, 0.3657], [0.4029, 0.3338, 0.4825], [0.4218, 0.8069, 0.4565], [0.5782, 0.1931, 0.5435], [0.5971, 0.6662, 0.5175], [0.6606, 0.9128, 0.6343], [0.6662, 0.5971, 0.0175], [0.8069, 0.4218, 0.9565], [0.9128, 0.6606, 0.1343], [0.1992, 0.4466, 0.8992], [0.4466, 0.1992, 0.3992], [0.5534, 0.8008, 0.6008], [0.8008, 0.5534, 0.1008], [0.1436, 0.8564, 0.2500], [0.8564, 0.1436, 0.7500]],
  "m_tot_mub_per_cell": 0.0,
  "final_energy_ev_per_cell": -95.24
}

***

Entry 3:
{
  "formula": "Cs3H12N4F3",
  "functional": "PBE",
  "state": "optimized geometry",
  "cell": [[-5.2138, 5.2138, 5.2138], [5.2138, -5.2138, 5.2138], [5.2138, 5.2138, -5.2138]],
  "species": ["Cs", "Cs", "Cs", "Cs", "Cs", "Cs", "H", "H", "H", "H", "H", "H", "H", "H", "H", "H", "H", "H", "H", "H", "H", "H", "H", "H", "H", "H", "H", "H", "H", "H", "N", "N", "N", "N", "N", "N", "N", "N", "F", "F", "F", "F", "F", "F"],
  "frac_coords": [[0.1250, 0.8750, 0.2500], [0.2500, 0.1250, 0.8750], [0.3750, 0.6250, 0.7500], [0.6250, 0.7500, 0.3750], [0.7500, 0.3750, 0.6250], [0.8750, 0.2500, 0.1250], [0.0404, 0.7061, 0.6271], [0.0791, 0.3729, 0.9134], [0.0866, 0.6657, 0.4596], [0.1271, 0.2061, 0.5404], [0.1657, 0.5866, 0.9596], [0.2061, 0.5404, 0.1271], [0.2939, 0.4209, 0.3343], [0.3343, 0.2939, 0.4209], [0.3729, 0.9134, 0.0791], [0.4134, 0.8729, 0.5791], [0.4209, 0.3343, 0.2939], [0.4596, 0.0866, 0.6657], [0.5404, 0.1271, 0.2061], [0.5791, 0.4134, 0.8729], [0.5866, 0.9596, 0.1657], [0.6271, 0.0404, 0.7061], [0.6657, 0.4596, 0.0866], [0.7061, 0.6271, 0.0404], [0.7939, 0.8343, 0.9209], [0.8343, 0.9209, 0.7939], [0.8729, 0.5791, 0.4134], [0.9134, 0.0791, 0.3729], [0.9209, 0.7939, 0.8343], [0.9596, 0.1657, 0.5866], [0.0000, 0.1930, 0.5000], [0.0000, 0.6930, 0.5000], [0.1930, 0.5000, 0.0000], [0.3070, 0.3070, 0.3070], [0.5000, 0.0000, 0.1930], [0.5000, 0.0000, 0.6930], [0.6930, 0.5000, 0.0000], [0.8070, 0.8070, 0.8070], [0.1250, 0.7500, 0.8750], [0.2500, 0.6250, 0.3750], [0.3750, 0.2500, 0.6250], [0.6250, 0.3750, 0.2500], [0.7500, 0.8750, 0.1250], [0.8750, 0.1250, 0.7500]],
  "m_tot_mub_per_cell": 0.0,
  "final_energy_ev_per_cell": -207.07
}

***

Entry 4:
{
  "formula": "CsH6N2F2",
  "functional": "PBE",
  "state": "optimized geometry",
  "cell": [[4.3754, -2.3271, 0.0000], [4.3754, 2.3271, 0.0000], [-2.2459, 0.0000, 6.3969]],
  "species": ["Cs", "H", "H", "H", "H", "H", "H", "N", "N", "F", "F"],
  "frac_coords": [[0.0000, 0.0000, 0.0000], [0.1433, 0.5218, 0.3506], [0.3347, 0.3347, 0.5729], [0.4782, 0.8567, 0.6494], [0.5218, 0.1433, 0.3506], [0.6653, 0.6653, 0.4271], [0.8567, 0.4782, 0.6494], [0.3622, 0.3622, 0.4356], [0.6378, 0.6378, 0.5644], [0.2592, 0.2592, 0.7863], [0.7408, 0.7408, 0.2137]],
  "m_tot_mub_per_cell": 1.0,
  "final_energy_ev_per_cell": -51.32
}

***

Entry 5:
{
  "formula": "CsNaHF",
  "functional": "PBE",
  "state": "optimized geometry",
  "cell": [[4.1823, 0.0000, 0.0000], [-2.0911, 3.6220, 0.0000], [0.0000, 0.0000, 13.8022]],
  "species": ["Cs", "Cs", "Na", "Na", "H", "H", "F", "F"],
  "frac_coords": [[0.3333, 0.6667, 0.0000], [0.6667, 0.3333, 0.5000], [0.0000, 0.0000, 0.2421], [0.0000, 0.0000, 0.7421], [0.3333, 0.6667, 0.6826], [0.6667, 0.3333, 0.1826], [0.0000, 0.0000, 0.3989], [0.0000, 0.0000, 0.8989]],
  "m_tot_mub_per_cell": 0.0,
  "final_energy_ev_per_cell": -25.57
}

***

Entry 6:
{
  "formula": "Cs2H2OF2",
  "functional": "PBE",
  "state": "optimized geometry",
  "cell": [[4.4499, 0.0000, 0.0000], [0.7503, 4.7561, 0.0000], [1.4272, 0.3112, 6.6347]],
  "species": ["Cs", "Cs", "H", "H", "O", "F", "F"],
  "frac_coords": [[0.1624, 0.2019, 0.2366], [0.8376, 0.7981, 0.7634], [0.4028, 0.3811, 0.6224], [0.5972, 0.6189, 0.3776], [0.5000, 0.5000, 0.5000], [0.2560, 0.2290, 0.7936], [0.7440, 0.7710, 0.2064]],
  "m_tot_mub_per_cell": 0.1,
  "final_energy_ev_per_cell": -30.29
}

***

Entry 7:
{
  "formula": "CsH6O2F2",
  "functional": "PBE",
  "state": "optimized geometry",
  "cell": [[5.2425, 0.0000, 0.0000], [-2.5814, 4.9453, 0.0000], [-0.0273, -1.9525, 6.1444]],
  "species": ["Cs", "H", "H", "H", "H", "H", "H", "O", "O", "F", "F"],
  "frac_coords": [[0.0000, 0.0000, 0.0000], [0.2204, 0.7484, 0.4583], [0.3120, 0.6245, 0.7027], [0.4782, 0.2540, 0.5426], [0.5218, 0.7460, 0.4574], [0.6880, 0.3755, 0.2973], [0.7796, 0.2516, 0.5417], [0.3152, 0.6345, 0.4780], [0.6848, 0.3655, 0.5220], [0.3142, 0.6268, 0.8607], [0.6858, 0.3732, 0.1393]],
  "m_tot_mub_per_cell": 0.0,
  "final_energy_ev_per_cell": -47.43
}

***

Entry 8:
{
  "formula": "CsHOF2",
  "functional": "PBE",
  "state": "optimized geometry",
  "cell": [[4.9567, 0.0000, 0.0000], [0.0000, 4.9567, 0.0000], [0.0000, 0.0000, 3.0442]],
  "species": ["Cs", "H", "O", "F", "F"],
  "frac_coords": [[0.0000, 0.0000, 0.0000], [0.5000, 0.5000, 0.5000], [0.5000, 0.5000, 0.0000], [0.0000, 0.5000, 0.5000], [0.5000, 0.0000, 0.5000]],
  "polymorph_energy_mev_per_atom": 0,
  "m_tot_mub_per_cell": 2.0,
  "final_energy_ev_per_cell": -15.97
}